Material: BaLi12
Method: DFT, PBE
State: relaxed

Geometry as POSCAR:
```
BaLi12
1.0
5.8414 0.0000 0.0000
2.9207 7.3218 0.0000
2.9207 0.0000 7.3218
Li Ba
12 1
direct
0.0000 0.5000 0.0000
0.7357 0.7643 0.7643
0.6359 0.3641 0.3641
0.5000 0.2357 0.7643
0.3641 0.6359 0.6359
0.0000 0.6359 0.3641
0.5000 0.7643 0.2357
0.0000 0.3641 0.6359
0.5000 0.5000 0.0000
0.5000 0.0000 0.5000
0.2643 0.2357 0.2357
0.0000 0.0000 0.5000
0.0000 0.0000 0.0000
```

energy of formation	0.6	kcal/mol of atoms
volume	313	Å³/f.u.
D(E_F)	0.536	states/eV per atom
total magnetization	0.00	μB per formula unit
E	-1.89	eV/atom